# Li17Hg12 | the Alexandria database | PBE-GGA | relaxed
data_Li17Hg12
_chemical_formula_sum 'Li34 Hg24'
_cell_length_a 10.438
_cell_length_b 10.438
_cell_length_c 10.438
_cell_angle_alpha 90.00
_cell_angle_beta 90.00
_cell_angle_gamma 90.00
_symmetry_space_group_name_H-M 'I -4 3 m'
_symmetry_Int_Tables_number 217
_symmetry_space_group_name_Hall 'I -4 2 3'
loop_
_atom_site_label
_atom_site_type_symbol
_atom_site_fract_x
_atom_site_fract_y
_atom_site_fract_z
Li1 Li 0.000 0.000 0.000
Li2 Li 0.054 0.362 0.362
Li3 Li 0.173 0.173 0.827
Hg1 Hg 0.099 0.099 0.303
# - ρ: 7.37 g cm⁻³
# - E: -44.30 eV/f.u.
# - Total magnetization: 0.0 μB per formula unit